No. 1
{
  "formula": "NdHo2Co",
  "functional": "GGA-PBE",
  "state": "relaxed",
  "lattice_angstrom": [[1.894, 1.094, 9.002], [-1.894, 1.094, 9.002], [0.000, -2.187, 9.002]],
  "species": ["Nd", "Ho", "Ho", "Co"],
  "fractional_positions": [[0.000, 0.000, 0.000], [0.553, 0.553, 0.553], [0.776, 0.776, 0.776], [0.165, 0.165, 0.165]],
  "e_tot_ev_per_atom": -5.287,
  "sg": "R3m",
  "polymorph_energy_ev_per_atom": 0.108,
  "formation_energy_mev_per_atom": -30
}


No. 2
{
  "formula": "ReAsSBr2",
  "functional": "GGA-PBE",
  "state": "relaxed",
  "lattice_angstrom": [[4.889, 0.000, 0.000], [0.000, 4.889, 0.000], [0.000, 0.000, 5.316]],
  "species": ["Re", "As", "S", "Br", "Br"],
  "fractional_positions": [[0.000, 0.000, 0.000], [0.500, 0.500, 0.000], [0.500, 0.500, 0.500], [0.000, 0.500, 0.500], [0.500, 0.000, 0.500]],
  "e_tot_ev_per_atom": -3.409,
  "sg": "P4/mmm",
  "polymorph_energy_ev_per_atom": 0.661,
  "formation_energy_uncorrected_ev_per_atom": 1.505
}


No. 3
{
  "formula": "Zr2Zn3Cu",
  "functional": "GGA-PBE",
  "state": "relaxed",
  "lattice_angstrom": [[5.249, 0.000, 0.000], [-2.625, 4.546, 0.000], [0.000, 0.000, 8.339]],
  "species": ["Zr", "Zr", "Zr", "Zr", "Zn", "Zn", "Zn", "Zn", "Zn", "Zn", "Cu", "Cu"],
  "fractional_positions": [[0.333, 0.667, 0.064], [0.333, 0.667, 0.436], [0.667, 0.333, 0.564], [0.667, 0.333, 0.936], [0.168, 0.336, 0.750], [0.168, 0.832, 0.750], [0.336, 0.168, 0.250], [0.664, 0.832, 0.750], [0.832, 0.168, 0.250], [0.832, 0.664, 0.250], [0.000, 0.000, 0.000], [0.000, 0.000, 0.500]],
  "e_tot_ev_per_atom": -4.409,
  "sg": "P6_3/mmc",
  "polymorph_energy_ev_per_atom": 0.004,
  "formation_energy_mev_per_atom": -240
}


No. 4
{
  "formula": "Hf2CdBPt",
  "functional": "GGA-PBE",
  "state": "relaxed",
  "lattice_angstrom": [[5.010, 0.000, 0.000], [0.000, 5.010, 0.000], [0.000, 0.000, 5.043]],
  "species": ["Hf", "Hf", "Cd", "B", "Pt"],
  "fractional_positions": [[0.000, 0.500, 0.000], [0.500, 0.000, 0.000], [0.000, 0.000, 0.500], [0.500, 0.500, 0.500], [0.000, 0.000, 0.000]],
  "e_tot_ev_per_atom": -5.627,
  "sg": "P4/mmm",
  "formation_energy_mev_per_atom": 1081
}


No. 5
{
  "formula": "ZrScNb2Tl",
  "functional": "GGA-PBE",
  "state": "relaxed",
  "lattice_angstrom": [[5.168, 0.000, 0.000], [0.000, 5.168, 0.000], [0.000, 0.000, 5.264]],
  "species": ["Zr", "Sc", "Nb", "Nb", "Tl"],
  "fractional_positions": [[0.000, 0.000, 0.000], [0.500, 0.500, 0.000], [0.000, 0.500, 0.500], [0.500, 0.000, 0.500], [0.000, 0.000, 0.500]],
  "e_tot_ev_per_atom": -5.938,
  "sg": "P4/mmm",
  "formation_energy_mev_per_atom": 1539
}


No. 6
{
  "formula": "Fe2Co3H2",
  "functional": "GGA-PBE",
  "state": "relaxed",
  "lattice_angstrom": [[4.123, -1.275, 0.000], [4.123, 1.275, 0.000], [-2.333, 0.000, 5.827]],
  "species": ["Fe", "Fe", "Co", "Co", "Co", "H", "H"],
  "fractional_positions": [[0.178, 0.178, 0.297], [0.822, 0.822, 0.703], [0.383, 0.383, 0.072], [0.500, 0.500, 0.500], [0.617, 0.617, 0.928], [0.047, 0.047, 0.708], [0.953, 0.953, 0.292]],
  "e_tot_ev_per_atom": -6.332,
  "sg": "C2/m"
}


No. 7
{
  "formula": "TbEuTm4",
  "functional": "GGA-PBE",
  "state": "relaxed",
  "lattice_angstrom": [[0.000, 4.674, 4.674], [4.674, 0.000, 4.674], [4.674, 4.674, 0.000]],
  "species": ["Tb", "Eu", "Tm", "Tm", "Tm", "Tm"],
  "fractional_positions": [[0.000, 0.000, 0.000], [0.750, 0.750, 0.750], [0.374, 0.374, 0.374], [0.374, 0.374, 0.879], [0.374, 0.879, 0.374], [0.879, 0.374, 0.374]],
  "e_tot_ev_per_atom": -5.205,
  "sg": "F-43m",
  "formation_energy_mev_per_atom": 260
}


No. 8
{
  "formula": "La2PmPr4",
  "functional": "GGA-PBE",
  "state": "relaxed",
  "lattice_angstrom": [[-2.360, 2.360, 11.648], [2.360, -2.360, 11.648], [2.360, 2.360, -11.648]],
  "species": ["La", "La", "Pm", "Pr", "Pr", "Pr", "Pr"],
  "fractional_positions": [[0.096, 0.096, 0.000], [0.904, 0.904, 0.000], [0.500, 0.500, 0.000], [0.250, 0.750, 0.500], [0.363, 0.363, 0.000], [0.637, 0.637, 0.000], [0.750, 0.250, 0.500]],
  "e_tot_ev_per_atom": -4.606,
  "sg": "I4/mmm",
  "polymorph_energy_ev_per_atom": 0.038,
  "formation_energy_mev_per_atom": 211
}


No. 9
{
  "formula": "MgTiPdPt",
  "functional": "GGA-PBE",
  "state": "relaxed",
  "lattice_angstrom": [[0.000, 3.167, 3.167], [3.167, 0.000, 3.167], [3.167, 3.167, 0.000]],
  "species": ["Mg", "Ti", "Pd", "Pt"],
  "fractional_positions": [[0.000, 0.000, 0.000], [0.500, 0.500, 0.500], [0.250, 0.250, 0.250], [0.750, 0.750, 0.750]],
  "e_tot_ev_per_atom": -5.953,
  "sg": "F-43m",
  "formation_energy_mev_per_atom": -772
}


No. 10
{
  "formula": "Ba2NpNi2S6",
  "functional": "GGA-PBE",
  "state": "relaxed",
  "lattice_angstrom": [[6.101, -3.542, 0.000], [6.101, 3.542, 0.000], [-4.125, 0.000, 6.293]],
  "species": ["Ba", "Ba", "Np", "Ni", "Ni", "S", "S", "S", "S", "S", "S"],
  "fractional_positions": [[0.231, 0.231, 0.215], [0.769, 0.769, 0.785], [0.000, 0.000, 0.500], [0.453, 0.453, 0.803], [0.547, 0.547, 0.197], [0.200, 0.708, 0.213], [0.245, 0.245, 0.654], [0.292, 0.800, 0.787], [0.708, 0.200, 0.213], [0.755, 0.755, 0.346], [0.800, 0.292, 0.787]],
  "e_tot_ev_per_atom": -5.994,
  "sg": "C2/m",
  "formation_energy_uncorrected_ev_per_atom": -1.165
}


No. 11
{
  "formula": "NaHf2Te4",
  "functional": "GGA-PBE",
  "state": "relaxed",
  "lattice_angstrom": [[6.937, 0.000, 0.000], [0.000, 4.029, 0.000], [-0.034, 0.000, 7.960]],
  "species": ["Na", "Hf", "Hf", "Te", "Te", "Te", "Te"],
  "fractional_positions": [[0.000, 0.000, 0.000], [0.000, 0.000, 0.500], [0.500, 0.500, 0.500], [0.169, 0.500, 0.721], [0.335, 0.000, 0.280], [0.665, 0.000, 0.720], [0.831, 0.500, 0.279]],
  "e_tot_ev_per_atom": -5.691,
  "sg": "P2/m",
  "polymorph_energy_ev_per_atom": 0.000,
  "formation_energy_uncorrected_ev_per_atom": -0.863
}


No. 12
{
  "formula": "Li2Ni",
  "functional": "GGA-PBE",
  "state": "relaxed",
  "lattice_angstrom": [[2.594, 0.000, 0.000], [-1.297, 2.247, 0.000], [0.000, 0.000, 6.682]],
  "species": ["Li", "Li", "Ni"],
  "fractional_positions": [[0.333, 0.667, 0.307], [0.667, 0.333, 0.693], [0.000, 0.000, 0.000]],
  "e_tot_ev_per_atom": -3.175,
  "sg": "P-3m1",
  "formation_energy_mev_per_atom": 28
}


No. 13
{
  "formula": "SiSb2Te",
  "functional": "GGA-PBE",
  "state": "relaxed",
  "lattice_angstrom": [[-3.674, 3.674, 4.735], [3.674, -3.674, 4.735], [3.674, 3.674, -4.735]],
  "species": ["Si", "Si", "Sb", "Sb", "Sb", "Sb", "Te", "Te"],
  "fractional_positions": [[0.000, 0.000, 0.000], [0.750, 0.250, 0.500], [0.079, 0.125, 0.454], [0.375, 0.921, 0.046], [0.671, 0.625, 0.546], [0.875, 0.329, 0.954], [0.250, 0.750, 0.500], [0.500, 0.500, 0.000]],
  "e_tot_ev_per_atom": -3.885,
  "sg": "I-42d",
  "polymorph_energy_ev_per_atom": 0.233,
  "formation_energy_uncorrected_ev_per_atom": 0.317
}


No. 14
{
  "formula": "Y2ScPbSe",
  "functional": "GGA-PBE",
  "state": "relaxed",
  "lattice_angstrom": [[5.319, 0.000, 0.000], [0.000, 5.319, 0.000], [0.000, 0.000, 5.773]],
  "species": ["Y", "Y", "Sc", "Pb", "Se"],
  "fractional_positions": [[0.000, 0.500, 0.000], [0.500, 0.000, 0.000], [0.000, 0.000, 0.500], [0.500, 0.500, 0.500], [0.500, 0.500, 0.000]],
  "e_tot_ev_per_atom": -5.494,
  "sg": "P4/mmm",
  "formation_energy_uncorrected_ev_per_atom": -0.204
}


No. 15
{
  "formula": "BaLaCdAg",
  "functional": "GGA-PBE",
  "state": "relaxed",
  "lattice_angstrom": [[0.000, 4.021, 4.021], [4.021, 0.000, 4.021], [4.021, 4.021, 0.000]],
  "species": ["Ba", "La", "Cd", "Ag"],
  "fractional_positions": [[0.000, 0.000, 0.000], [0.500, 0.500, 0.500], [0.250, 0.250, 0.250], [0.750, 0.750, 0.750]],
  "e_tot_ev_per_atom": -2.852,
  "sg": "F-43m",
  "formation_energy_mev_per_atom": -198
}


| no. | total moment (Bohr magnetons per cell) |
| --- | --- |
| 1 | 0.0 |
| 2 | 4.6 |
| 3 | 4.1 |
| 4 | 0.0 |
| 5 | 0.0 |
| 6 | 9.1 |
| 7 | 7.4 |
| 8 | 0.0 |
| 9 | 0.0 |
| 10 | 0.9 |
| 11 | 0.0 |
| 12 | 0.2 |
| 13 | 0.0 |
| 14 | 2.3 |
| 15 | 0.0 |